(1)
Below is a relaxed structure of NdSmHo2Se4, with properties calculated at the PBE level.

Lattice parameters (Å, degrees): 7.087 4.062 7.302 90.00 108.66 90.00
Space group P2/m (No. 10)
Inequivalent atoms, fractional coordinates:
Nd 0.000 0.000 0.000 x1
Sm 0.500 0.500 0.000 x1
Ho 0.000 0.500 0.500 x1
Ho 0.500 0.000 0.500 x1
Se 0.247 0.000 0.737 x2
Se 0.257 0.500 0.265 x2

ΔE_f (raw) = -1.78 eV/atom

***

(2)
Below is a relaxed structure of Y2MgZrN, with properties calculated at the PBE level.

Lattice parameters (Å, degrees): 4.877 4.877 4.547 90.00 90.00 90.00
Space group P4/mmm (No. 123)
Inequivalent atoms, fractional coordinates:
Y 0.000 0.500 0.000 x2
Mg 0.000 0.000 0.500 x1
Zr 0.500 0.500 0.500 x1
N 0.500 0.500 0.000 x1

ΔE_f (raw) = -0.69 eV/atom

***

(3)
Below is a relaxed structure of KMnAuS2, with properties calculated at the PBE level.

Lattice parameters (Å, degrees): 7.073 5.519 6.656 90.00 105.21 90.00
Space group P2/c (No. 13)
Inequivalent atoms, fractional coordinates:
K 0.000 0.207 0.250 x2
Mn 0.500 0.490 0.750 x2
Au 0.500 0.000 0.000 x2
S 0.274 0.318 0.942 x4

ΔE_f (raw) = -0.68 eV/atom

***

(4)
Below is a relaxed structure of BaCr2I, with properties calculated at the PBE level.

Lattice parameters (Å, degrees): 8.049 8.049 8.049 90.00 90.00 90.00
Space group Fm-3m (No. 225)
Inequivalent atoms, fractional coordinates:
Ba 0.000 0.000 0.000 x4
Cr 0.250 0.250 0.250 x8
I 0.000 0.000 0.500 x4

distance to the lowest polymorph of the same formula = 0.136 eV/atom
ΔE_f (raw) = 0.84 eV/atom

***

(5)
Below is a relaxed structure of YTe2HN, with properties calculated at the PBE level.

Lattice parameters (Å, degrees): 6.200 6.200 4.103 90.00 90.00 90.00
Space group P4/mmm (No. 123)
Inequivalent atoms, fractional coordinates:
Y 0.000 0.000 0.000 x1
Te 0.000 0.500 0.000 x2
H 0.500 0.500 0.500 x1
N 0.000 0.000 0.500 x1

distance to the lowest polymorph of the same formula = 0.322 eV/atom

***

(6)
Below is a relaxed structure of K2NaCdF, with properties calculated at the PBE level.

Lattice parameters (Å, degrees): 5.459 5.459 5.125 90.00 90.00 90.00
Space group P4/mmm (No. 123)
Inequivalent atoms, fractional coordinates:
K 0.000 0.500 0.000 x2
Na 0.000 0.000 0.500 x1
Cd 0.500 0.500 0.500 x1
F 0.000 0.000 0.000 x1

ΔE_f (raw) = -1.01 eV/atom

***

(7)
Below is a relaxed structure of GeBi2PRu, with properties calculated at the PBE level.

Lattice parameters (Å, degrees): 5.477 5.477 4.465 90.00 90.00 90.00
Space group P4/mmm (No. 123)
Inequivalent atoms, fractional coordinates:
Ge 0.000 0.000 0.000 x1
Bi 0.000 0.500 0.000 x2
P 0.000 0.000 0.500 x1
Ru 0.500 0.500 0.500 x1

energy relative to the elements = 1.31 eV per atom

***

(8)
Below is a relaxed structure of TbThSn, with properties calculated at the PBE level.

Lattice parameters (Å, degrees): 4.408 16.107 4.960 90.00 90.00 90.00
Space group Cmcm (No. 63)
Inequivalent atoms, fractional coordinates:
Tb 0.000 0.072 0.250 x4
Th 0.000 0.247 0.750 x4
Sn 0.000 0.407 0.250 x4

energy relative to the elements = -0.44 eV per atom
distance to the lowest polymorph of the same formula = 0.078 eV/atom

***

(9)
Below is a relaxed structure of TiAsN3, with properties calculated at the PBE level.

Lattice parameters (Å, degrees): 3.918 3.918 3.918 90.00 90.00 90.00
Space group Pm-3m (No. 221)
Inequivalent atoms, fractional coordinates:
Ti 0.000 0.000 0.000 x1
As 0.500 0.500 0.500 x1
N 0.000 0.000 0.500 x3

ΔE_f (raw) = 0.84 eV/atom

***

(10)
Below is a relaxed structure of PaZn4Co, with properties calculated at the PBE level.

Lattice parameters (Å, degrees): 12.433 5.118 6.503 90.00 108.19 90.00
Space group C2/m (No. 12)
Inequivalent atoms, fractional coordinates:
Pa 0.182 0.000 0.346 x4
Zn 0.000 0.260 0.000 x4
Zn 0.083 0.252 0.684 x8
Zn 0.225 0.500 0.076 x4
Co 0.121 0.500 0.359 x4

energy relative to the elements = -0.16 eV per atom
distance to the lowest polymorph of the same formula = 0.017 eV/atom

***

Number 1: calculated density 7.8 g/cm3, magnetic moment 0.00 μB per formula unit, density of states at the Fermi level 4.127 states/eV/f.u.. Number 2: calculated density 4.7 g/cm3, magnetic moment 0.00 μB per formula unit, density of states at the Fermi level 4.045 states/eV/f.u.. Number 3: calculated density 4.7 g/cm3, magnetic moment 5.00 μB per formula unit, density of states at the Fermi level 0.063 states/eV/f.u.. Number 4: calculated density 4.7 g/cm3, magnetic moment 11.02 μB per formula unit, density of states at the Fermi level 2.332 states/eV/f.u.. Number 5: calculated density 3.8 g/cm3, magnetic moment 0.14 μB per formula unit, density of states at the Fermi level 6.472 states/eV/f.u.. Number 6: calculated density 2.5 g/cm3, magnetic moment 0.00 μB per formula unit, density of states at the Fermi level 2.669 states/eV/f.u.. Number 7: calculated density 7.7 g/cm3, magnetic moment 1.88 μB per formula unit, density of states at the Fermi level 5.487 states/eV/f.u.. Number 8: calculated density 9.6 g/cm3, magnetic moment 0.00 μB per formula unit, density of states at the Fermi level 2.534 states/eV/f.u.. Number 9: calculated density 4.5 g/cm3, magnetic moment 0.00 μB per formula unit, density of states at the Fermi level 4.386 states/eV/f.u.. Number 10: calculated density 9.3 g/cm3, magnetic moment 0.00 μB per formula unit, density of states at the Fermi level 3.400 states/eV/f.u..